(1)
This record from Alexandria via LeMat-Bulk describes crystalline P2PtBrO at its relaxed geometry. The functional is PBEsol.

Cell lengths 4.7894, 4.7894, 3.8139 Å; angles 90.00, 90.00, 90.00 degrees
Space group P4/mmm (No. 123)
Symmetry-distinct sites (fractional):
P 0.0000 0.5000 0.0000 (multiplicity 2)
Pt 0.0000 0.0000 0.0000 (multiplicity 1)
Br 0.5000 0.5000 0.5000 (multiplicity 1)
O 0.0000 0.0000 0.5000 (multiplicity 1)

## Properties
The value obtained for the density is 6.70 g/cm³. Its total magnetization is 0.13 μB per atom. The value obtained for the final energy is -23.18 eV per cell. The uncorrected formation energy is 0.498 eV per atom.

(2)
This record from Alexandria via LeMat-Bulk describes crystalline RbLa2TaTi2O10 at its relaxed geometry. The functional is PBEsol.

Cell lengths 5.4291, 5.4289, 15.2455 Å; angles 90.00, 90.04, 90.00 degrees
Space group Cm (No. 8)
Symmetry-distinct sites (fractional):
Rb 0.0000 0.0000 0.0000 (multiplicity 2)
La 0.0012 0.0000 0.3328 (multiplicity 2)
La 0.0030 0.0000 0.6186 (multiplicity 2)
Ta 0.0033 0.5000 0.7715 (multiplicity 2)
Ti 0.0013 0.5000 0.1990 (multiplicity 2)
Ti 0.0026 0.5000 0.4868 (multiplicity 2)
O 0.0011 0.5000 0.0882 (multiplicity 2)
O 0.0026 0.5000 0.3653 (multiplicity 2)
O 0.0032 0.5000 0.6195 (multiplicity 2)
O 0.0033 0.5000 0.8885 (multiplicity 2)
O 0.2515 0.2500 0.2360 (multiplicity 4)
O 0.2535 0.2501 0.7396 (multiplicity 4)
O 0.2539 0.2506 0.4978 (multiplicity 4)

## Properties
The value obtained for the density is 5.91 g/cm³. Its total magnetization is 0.00 μB per atom. The value obtained for the final energy is -286.57 eV per cell. The uncorrected formation energy is -3.117 eV per atom.

(3)
This record from Alexandria via LeMat-Bulk describes crystalline Na2GePt2 at its relaxed geometry. The functional is PBEsol.

Cell lengths 6.2816, 6.2816, 4.9098 Å; angles 90.00, 90.00, 90.00 degrees
Space group P4/mbm (No. 127)
Symmetry-distinct sites (fractional):
Na 0.1677 0.3323 0.0000 (multiplicity 4)
Ge 0.0000 0.0000 0.5000 (multiplicity 2)
Pt 0.1467 0.6467 0.5000 (multiplicity 4)

## Properties
The value obtained for the density is 8.72 g/cm³. The value obtained for the energy of formation is -1.5 eV per formula unit. Its total magnetization is 0.00 μB per atom. The value obtained for the final energy is -46.26 eV per cell.

(4)
This record from Alexandria via LeMat-Bulk describes crystalline MgCuPt2 at its relaxed geometry. The functional is PBEsol.

Cell lengths 3.9334, 3.9334, 7.3521 Å; angles 90.00, 90.00, 90.00 degrees
Space group I4/mmm (No. 139)
Symmetry-distinct sites (fractional):
Mg 0.0000 0.0000 0.0000 (multiplicity 2)
Cu 0.0000 0.0000 0.5000 (multiplicity 2)
Pt 0.0000 0.5000 0.2500 (multiplicity 4)

## Properties
The value obtained for the density is 13.96 g/cm³. The value obtained for the energy of formation is -2.0 eV per formula unit. Its total magnetization is 0.00 μB per atom. The value obtained for the final energy is -43.86 eV per cell.

Q: Which formula does entry 4 have?
A: MgCuPt2